No. 1
The following is a PBE+U calculation of a relaxed SrCrSiO4 crystal, from Alexandria via LeMat-Bulk.

Computed properties:
Total DFT energy (no corrections) (eV per atom): -7.40
Density of states at the Fermi level (states/eV/cell): 0.0
Space group: P2_1/m, No. 11

abc: 5.3979 5.6456 6.6046
angles: 90.00 107.05 90.00
Closest atoms and distances in Å follow each position.
Sites, in units of the cell vectors:
Cr1 0.2217 0.2500 0.5466  2 O 2.07-2.18
O1 0.9497 0.4772 0.7213  1 Si 1.65
O2 0.0503 0.9772 0.2787  1 Si 1.65
Sr1 0.2774 0.2500 0.0675  4 O 2.43-2.61
Sr2 0.7226 0.7500 0.9325  4 O 2.43-2.61
O3 0.9497 0.0228 0.7213  1 Si 1.65
Si1 0.7474 0.2500 0.6721  4 O 1.64-1.67
O4 0.0503 0.5228 0.2787  1 Si 1.65
Cr2 0.7783 0.7500 0.4534  2 O 2.07-2.18
O5 0.4453 0.7500 0.1713  1 Si 1.67
O6 0.5547 0.2500 0.8287  1 Si 1.67
O7 0.4578 0.7500 0.5657  1 Si 1.64
Si2 0.2526 0.7500 0.3279  4 O 1.64-1.67
O8 0.5422 0.2500 0.4343  1 Si 1.64

No. 2
The following is a PBE+U calculation of a relaxed CrSiTc2O crystal, from Alexandria via LeMat-Bulk.

Computed properties:
Total DFT energy (no corrections) (eV per atom): -7.08
Density of states at the Fermi level (states/eV/cell): 4.5
Space group: P4/mmm, No. 123

abc: 4.1638 3.6688 4.1638
angles: 90.00 90.00 90.00
Closest atoms and distances in Å follow each position.
Sites, in units of the cell vectors:
Tc1 0.5000 0.0000 0.0000  2 O 2.08
Si1 0.0000 0.5000 0.0000  2 O 1.83
O1 0.0000 0.0000 0.0000  2 Si 1.83
Cr1 0.5000 0.5000 0.5000  8 Tc 2.77, 4 Si 2.94
Tc2 0.0000 0.0000 0.5000  2 O 2.08

No. 3
The following is a PBE+U calculation of a relaxed TlCrSiO4 crystal, from Alexandria via LeMat-Bulk.

Computed properties:
Total DFT energy (no corrections) (eV per atom): -6.89
Density of states at the Fermi level (states/eV/cell): 0.0
Space group: P2_1/m, No. 11

abc: 5.1977 5.3792 9.1461
angles: 90.00 121.99 90.00
Closest atoms and distances in Å follow each position.
Sites, in units of the cell vectors:
O1 0.4909 0.7500 0.5610  1 Si 1.66
O2 0.9689 0.9874 0.3454  1 Si 1.66
O3 0.9689 0.5126 0.3454  1 Si 1.66
Tl1 0.5871 0.7500 0.8639  1 O 2.54
Tl2 0.4129 0.2500 0.1361  1 O 2.54
O4 0.5091 0.2500 0.4390  1 Si 1.66
Si1 0.1862 0.7500 0.3619  4 O 1.64-1.66
O5 0.0311 0.0126 0.6546  1 Si 1.66
Cr1 0.7752 0.7500 0.4794  4 O 1.98-2.06
O6 0.3558 0.7500 0.2533  1 Si 1.64
O7 0.6442 0.2500 0.7467  1 Si 1.64
Si2 0.8138 0.2500 0.6381  4 O 1.64-1.66
O8 0.0311 0.4874 0.6546  1 Si 1.66
Cr2 0.2248 0.2500 0.5206  4 O 1.98-2.06

No. 4
The following is a PBE+U calculation of a relaxed Tl2CrSiO4 crystal, from Alexandria via LeMat-Bulk.

Computed properties:
Total DFT energy (no corrections) (eV per atom): -6.35
Space group: Pmn2_1, No. 31

abc: 5.4259 8.3395 6.7028
angles: 90.00 90.00 90.00
Closest atoms and distances in Å follow each position.
Sites, in units of the cell vectors:
O1 0.4111 0.8212 0.2925  1 Si 1.65
Tl1 0.9906 0.6908 0.7420  3 O 2.51-2.62
Tl2 0.9906 0.6908 0.2580  3 O 2.51-2.62
O2 0.3066 0.0935 0.0000  1 Si 1.66
O3 0.3946 0.0994 0.5000  1 Si 1.68
O4 0.9111 0.1788 0.2075  1 Si 1.65
Tl3 0.4906 0.3092 0.2420  3 O 2.51-2.62
Tl4 0.4906 0.3092 0.7580  3 O 2.51-2.62
O5 0.9111 0.1788 0.7925  1 Si 1.65
Cr1 0.4940 0.8849 0.0000  4 O 2.02-2.18
O6 0.8066 0.9065 0.5000  1 Si 1.66
Cr2 0.9940 0.1151 0.5000  4 O 2.02-2.18
Si1 0.0013 0.0897 0.0000  4 O 1.65-1.68
O7 0.4111 0.8212 0.7075  1 Si 1.65
Si2 0.5013 0.9103 0.5000  4 O 1.65-1.68
O8 0.8946 0.9006 0.0000  1 Si 1.68

No. 5
The following is a PBE+U calculation of a relaxed TlCr2SiO8 crystal, from Alexandria via LeMat-Bulk.

Computed properties:
Total DFT energy (no corrections) (eV per atom): -6.68
Density of states at the Fermi level (states/eV/cell): 2.4
Space group: C2/m, No. 12

abc: 5.0523 5.0523 8.0131
angles: 85.81 85.81 63.68
Closest atoms and distances in Å follow each position.
Sites, in units of the cell vectors:
O1 0.2097 0.7417 0.8430  1 Cr 1.73, 1 Si 1.80
O2 0.6788 0.6788 0.3849  1 Cr 1.63
O3 0.2583 0.7903 0.1570  1 Cr 1.73, 1 Si 1.80
Tl1 0.0000 0.0000 0.5000  10 O 2.98-3.17
O4 0.3212 0.3212 0.6151  1 Cr 1.63
O5 0.7962 0.7962 0.0560  1 Cr 1.71, 1 Si 1.77
O6 0.2038 0.2038 0.9440  1 Cr 1.71, 1 Si 1.77
Cr1 0.3682 0.3682 0.8083  4 O 1.63-1.73
Cr2 0.6318 0.6318 0.1917  4 O 1.63-1.73
O7 0.7903 0.2583 0.1570  1 Cr 1.73, 1 Si 1.80
O8 0.7417 0.2097 0.8430  1 Cr 1.73, 1 Si 1.80
Si1 0.0000 0.0000 0.0000  6 O 1.77-1.80

No. 6
The following is a PBE+U calculation of a relaxed Tm2CrSiO6 crystal, from Alexandria via LeMat-Bulk.

Computed properties:
Total DFT energy (no corrections) (eV per atom): -7.92
Density of states at the Fermi level (states/eV/cell): 0.1
Space group: P4mm, No. 99

abc: 4.7342 5.0806 5.0806
angles: 90.00 90.00 90.00
Closest atoms and distances in Å follow each position.
Sites, in units of the cell vectors:
O1 0.7195 0.2297 0.7703  1 Si 1.74
O2 0.2463 0.0000 0.0000  1 Si 1.68
O3 0.1352 0.5000 0.5000  1 Cr 2.13
Tm1 0.0006 0.0000 0.5000  4 O 2.24
O4 0.7195 0.7703 0.2297  1 Si 1.74
Cr1 0.5856 0.5000 0.5000  5 O 2.04-2.13
Tm2 0.0006 0.5000 0.0000  4 O 2.24
Si1 0.6003 0.0000 0.0000  5 O 1.68-1.74
O5 0.7195 0.2297 0.2297  1 Si 1.74
O6 0.7195 0.7703 0.7703  1 Si 1.74

No. 7
The following is a PBE+U calculation of a relaxed VCr2SiO6 crystal, from Alexandria via LeMat-Bulk.

Computed properties:
Total DFT energy (no corrections) (eV per atom): -7.77
Density of states at the Fermi level (states/eV/cell): 0.0
Space group: R3, No. 146

abc: 5.0106 5.0113 5.3704
angles: 62.20 62.19 60.00
Closest atoms and distances in Å follow each position.
Sites, in units of the cell vectors:
O1 0.5748 0.2364 0.2343  1 Si 1.79
V1 0.8174 0.8174 0.5479  6 O 2.08-2.19
Cr1 0.5178 0.5178 0.4467  6 O 2.04
O2 0.2364 0.9546 0.2342  1 Si 1.79
O3 0.1276 0.4069 0.7722  1 Si 1.86, 2 Cr 2.00-2.04
O4 0.9545 0.5749 0.2342  1 Si 1.79
O5 0.4069 0.6933 0.7722  1 Si 1.86, 2 Cr 2.00-2.04
Cr2 0.0120 0.0120 0.9641  6 O 2.00-2.06
Si1 0.3209 0.3209 0.0373  6 O 1.79-1.86
O6 0.6934 0.1276 0.7722  1 Si 1.86, 2 Cr 2.00-2.04

No. 8
The following is a PBE+U calculation of a relaxed V2CrSiO6 crystal, from Alexandria via LeMat-Bulk.

Computed properties:
Total DFT energy (no corrections) (eV per atom): -7.84
Space group: P1, No. 1

abc: 4.9596 5.1498 5.5344
angles: 59.99 62.79 60.65
Closest atoms and distances in Å follow each position.
Sites, in units of the cell vectors:
O1 0.1311 0.4100 0.7653  1 Si 1.88, 1 Cr 2.05, 2 V 2.05-2.07
O2 0.2281 0.9549 0.2345  1 Si 1.83, 1 V 2.04
Cr1 0.8051 0.8206 0.5735  5 O 2.02-2.22
V1 0.0180 0.0031 0.9596  6 O 1.95-2.16
Si1 0.3221 0.3239 0.0356  6 O 1.76-1.88
V2 0.5240 0.5225 0.4330  6 O 2.01-2.22
O3 0.9646 0.5580 0.2178  1 Si 1.76
O4 0.5786 0.2216 0.2401  1 Si 1.80
O5 0.6854 0.1495 0.7801  1 Si 1.85, 2 V 1.95-2.06
O6 0.4046 0.6976 0.7757  1 Si 1.85, 1 V 2.01, 1 Cr 2.02

No. 9
The following is a PBE+U calculation of a relaxed YCr2SiO6 crystal, from Alexandria via LeMat-Bulk.

Computed properties:
Total DFT energy (no corrections) (eV per atom): -8.07
Space group: P1, No. 1

abc: 5.1220 5.1757 5.7479
angles: 60.81 63.15 60.09
Closest atoms and distances in Å follow each position.
Sites, in units of the cell vectors:
Si1 0.3219 0.3260 0.0287  6 O 1.78-1.93
Cr1 0.5337 0.5278 0.4232  4 O 2.07-2.23
Y1 0.7968 0.8167 0.5857  5 O 2.17-2.42
O1 0.9695 0.5715 0.2191  1 Si 1.83, 1 Cr 2.05
O2 0.3759 0.7014 0.7998  1 Si 1.82, 1 Cr 1.98
Cr2 0.0088 0.0070 0.9737  6 O 1.98-2.06
O3 0.7004 0.1508 0.7704  1 Si 1.93, 2 Cr 2.01-2.14
O4 0.5804 0.2062 0.2188  1 Si 1.78
O5 0.2293 0.9661 0.2197  1 Si 1.82
O6 0.1449 0.3881 0.7762  1 Si 1.86, 1 Cr 2.03

No. 10
The following is a PBE+U calculation of a relaxed ZnCr2SiO6 crystal, from Alexandria via LeMat-Bulk.

Computed properties:
Total DFT energy (no corrections) (eV per atom): -7.17
Density of states at the Fermi level (states/eV/cell): 0.0
Space group: R3, No. 146

abc: 5.0027 5.0030 5.3719
angles: 62.25 62.24 60.00
Closest atoms and distances in Å follow each position.
Sites, in units of the cell vectors:
Zn1 0.7968 0.7967 0.6098  3 O 1.97
Cr1 0.0112 0.0112 0.9663  6 O 2.00-2.03
Si1 0.3214 0.3214 0.0357  6 O 1.78-1.87
O1 0.4019 0.6992 0.7637  1 Si 1.87, 1 Zn 1.97, 2 Cr 2.00-2.04
O2 0.5789 0.2398 0.2248  1 Si 1.78
O3 0.1352 0.4019 0.7637  1 Si 1.87, 1 Zn 1.97, 2 Cr 2.00-2.04
O4 0.6993 0.1352 0.7637  1 Si 1.87, 1 Zn 1.97, 2 Cr 2.00-2.04
O5 0.2398 0.9564 0.2249  1 Si 1.78
O6 0.9564 0.5790 0.2248  1 Si 1.78
Cr2 0.5207 0.5207 0.4379  6 O 2.04

No. 11
The following is a PBE+U calculation of a relaxed Zn3Cr2Si4O14 crystal, from Alexandria via LeMat-Bulk.

Computed properties:
Total DFT energy (no corrections) (eV per atom): -6.95
Density of states at the Fermi level (states/eV/cell): 0.0
Space group: C2/c, No. 15

abc: 9.0150 9.0150 9.9567
angles: 61.75 61.75 50.81
Closest atoms and distances in Å follow each position.
Sites, in units of the cell vectors:
Si1 0.4722 0.8869 0.2962  4 O 1.63-1.64
Cr1 0.7968 0.2032 0.7500  6 O 1.95-2.08
Si2 0.7728 0.4715 0.4048  4 O 1.63-1.69
Zn1 0.2823 0.0553 0.5993  3 O 1.90-2.04
O1 0.0432 0.1201 0.5851  1 Zn 1.90, 2 Cr 1.94-1.95
O2 0.9279 0.2547 0.8310  1 Si 1.63
Zn2 0.7177 0.9447 0.4007  3 O 1.90-2.04
O3 0.6390 0.6593 0.2783  2 Si 1.64-1.66
O4 0.8439 0.2855 0.3433  1 Si 1.69
O5 0.4935 0.9563 0.8690  2 Si 1.63-1.64
O6 0.8799 0.9568 0.9149  1 Zn 1.90, 2 Cr 1.94-1.95
Cr2 0.0000 0.0000 0.0000  4 O 1.94-2.00
O7 0.3610 0.3407 0.7217  2 Si 1.64-1.66
Si3 0.5285 0.2272 0.0952  4 O 1.63-1.69
O8 0.3407 0.3610 0.2217  2 Si 1.64-1.66
O9 0.5071 0.9032 0.4339  1 Si 1.63
Si4 0.1131 0.5278 0.2038  4 O 1.63-1.64
Zn3 0.9447 0.7177 0.9007  3 O 1.90-2.04
O10 0.9568 0.8799 0.4149  1 Zn 1.90, 2 Cr 1.94-1.95
Zn4 0.3985 0.6015 0.7500  4 O 2.04-2.21
O11 0.2547 0.9279 0.3310  1 Si 1.63
O12 0.4929 0.0968 0.5661  1 Si 1.63
Si5 0.8869 0.4722 0.7962  4 O 1.63-1.64
O13 0.5065 0.0437 0.1310  2 Si 1.63-1.64
Si6 0.5278 0.1131 0.7038  4 O 1.63-1.64
O14 0.7145 0.1561 0.1567  1 Si 1.69
O15 0.4645 0.6528 0.0898  1 Si 1.63
O16 0.6528 0.4645 0.5898  1 Si 1.63
O17 0.9563 0.4935 0.3690  2 Si 1.63-1.64
O18 0.5355 0.3472 0.9102  1 Si 1.63
Si7 0.4715 0.7728 0.9048  4 O 1.63-1.69
Cr3 0.0000 0.0000 0.5000  4 O 1.94-2.00
O19 0.2855 0.8439 0.8433  1 Si 1.69
O20 0.6593 0.6390 0.7783  2 Si 1.64-1.66
O21 0.9032 0.5071 0.9339  1 Si 1.63
Zn5 0.6015 0.3985 0.2500  4 O 2.04-2.21
Si8 0.2272 0.5285 0.5952  4 O 1.63-1.69
O22 0.0968 0.4929 0.0661  1 Si 1.63
Cr4 0.2032 0.7968 0.2500  6 O 1.95-2.08
O23 0.0437 0.5065 0.6310  2 Si 1.63-1.64
O24 0.1561 0.7145 0.6567  1 Si 1.69
Zn6 0.0553 0.2823 0.0993  3 O 1.90-2.04
O25 0.3472 0.5355 0.4102  1 Si 1.63
O26 0.1201 0.0432 0.0851  1 Zn 1.90, 2 Cr 1.94-1.95
O27 0.7453 0.0721 0.6690  1 Si 1.63
O28 0.0721 0.7453 0.1690  1 Si 1.63

No. 12
The following is a PBE+U calculation of a relaxed ZnCrSi2O6 crystal, from Alexandria via LeMat-Bulk.

Computed properties:
Total DFT energy (no corrections) (eV per atom): -7.21
Density of states at the Fermi level (states/eV/cell): 0.0
Space group: C2/c, No. 15

abc: 5.3766 6.9629 6.9629
angles: 87.84 74.36 74.36
Closest atoms and distances in Å follow each position.
Sites, in units of the cell vectors:
O1 0.1523 0.7858 0.9676  1 Si 1.66
Si1 0.7771 0.7827 0.6152  4 O 1.63-1.66
Si2 0.2229 0.2173 0.3848  4 O 1.63-1.66
O2 0.5372 0.6729 0.6292  2 Si 1.65
O3 0.9628 0.3708 0.3271  2 Si 1.65
Si3 0.2771 0.6152 0.7827  4 O 1.63-1.66
O4 0.8788 0.8497 0.3877  1 Si 1.63
O5 0.1212 0.1503 0.6123  1 Si 1.63
Zn1 0.2500 0.7613 0.2387  4 O 1.93-2.08
Si4 0.7229 0.3848 0.2173  4 O 1.63-1.66
O6 0.6523 0.9676 0.7858  1 Si 1.66
Zn2 0.7500 0.2387 0.7613  4 O 1.93-2.08
O7 0.6212 0.6123 0.1503  1 Si 1.63
Cr1 0.2500 0.1026 0.8974  4 O 2.05-2.26
Cr2 0.7500 0.8974 0.1026  4 O 2.05-2.26
O8 0.4628 0.3271 0.3708  2 Si 1.65
O9 0.3788 0.3877 0.8497  1 Si 1.63
O10 0.0372 0.6292 0.6729  2 Si 1.65
O11 0.3477 0.0324 0.2142  1 Si 1.66
O12 0.8477 0.2142 0.0324  1 Si 1.66